{
  "formula": "AcBiSb",
  "functional": "GGA-PBE",
  "state": "relaxed",
  "magnetic_moment_mub_per_cell": 0.0,
  "energy_ev_per_atom": -4.58,
  "rho_kg_m3": 8852,
  "e_form_raw_kj_per_mol_fu": -158,
  "e_above_lowest_polymorph_ev_per_atom": 0.211,
  "lattice": [[-3.247, -1.333, -2.388], [-1.686, -3.084, 4.013], [-1.751, 5.021, -0.422]],
  "species": ["Sb", "Ac", "Bi"],
  "fractional_positions": [[0.499, 0.667, 0.333], [0.000, 0.000, 0.000], [0.501, 0.333, 0.667]]
}